(1)
Computed, not measured: a relaxed La2SiGePd6 crystal at the GGA-PBE level of DFT.

Cell and atoms, written as POSCAR:
```
La2SiGePd6
1.0
-0.572 6.734 -0.453
-2.622 -0.572 5.932
2.915 5.002 3.520
Si Ge La Pd
1 1 2 6
direct
0.000 0.000 0.000
0.500 0.500 0.000
0.754 0.225 0.528
0.246 0.775 0.472
0.756 0.762 0.492
0.752 0.614 0.138
0.746 0.238 0.005
0.244 0.238 0.508
0.248 0.386 0.862
0.254 0.762 0.995
```

Summary:
crystal system: triclinic
energy relative to the elements, uncorrected: -765 meV/atom

=====

(2)
Computed, not measured: a relaxed La3Si2GePd9 crystal at the GGA-PBE level of DFT.

Cell and atoms, written as POSCAR:
```
La3Si2GePd9
1.0
6.488 0.000 0.000
-3.244 5.619 0.000
0.000 0.000 8.587
La Pd Ge Si
3 9 1 2
direct
0.333 0.667 0.666
0.000 0.000 0.000
0.667 0.333 0.334
0.000 0.500 0.000
0.853 0.707 0.714
0.707 0.853 0.286
0.500 0.000 0.000
0.853 0.147 0.714
0.147 0.293 0.286
0.147 0.853 0.286
0.293 0.147 0.714
0.500 0.500 0.000
0.000 0.000 0.500
0.333 0.667 0.179
0.667 0.333 0.821
```

Summary:
crystal system: trigonal
energy relative to the elements, uncorrected: -696 meV/atom

=====

(3)
Computed, not measured: a relaxed La2SiGePd crystal at the GGA-PBE level of DFT.

Cell and atoms, written as POSCAR:
```
La2SiGePd
1.0
-1.507 4.708 2.808
-4.294 -1.217 -0.264
0.487 -2.786 4.932
Si La Ge Pd
1 2 1 1
direct
0.000 0.000 0.000
0.500 0.000 0.000
0.000 0.000 0.500
0.500 0.500 0.500
0.000 0.500 0.000
```

Summary:
crystal system: tetragonal
energy relative to the elements, uncorrected: -291 meV/atom

=====

(4)
Computed, not measured: a relaxed LaSmGe2Pd5 crystal at the GGA-PBE level of DFT.

Cell and atoms, written as POSCAR:
```
LaSmGe2Pd5
1.0
-0.648 3.384 -2.609
-4.071 -1.290 -0.664
-2.751 4.994 7.162
Pd Ge Sm La
5 2 1 1
direct
0.500 0.500 0.500
0.000 0.500 0.729
0.500 0.000 0.729
0.000 0.500 0.271
0.500 0.000 0.271
0.500 0.500 0.865
0.500 0.500 0.135
0.000 0.000 0.000
0.000 0.000 0.500
```

Summary:
crystal system: tetragonal
ΔH_f (0 K): -0.807 eV per atom

=====

(5)
Computed, not measured: a relaxed LaSmGe2Pd2 crystal at the GGA-PBE level of DFT.

Cell and atoms, written as POSCAR:
```
LaSmGe2Pd2
1.0
4.370 0.000 0.000
-2.185 3.784 0.000
0.000 0.000 8.118
Ge Pd Sm La
2 2 1 1
direct
0.667 0.333 0.745
0.333 0.667 0.255
0.667 0.333 0.269
0.333 0.667 0.731
0.000 0.000 0.500
0.000 0.000 0.000
```

Summary:
crystal system: trigonal
ΔH_f (0 K): -0.918 eV per atom

=====

(6)
Computed, not measured: a relaxed LaSmGePd crystal at the GGA-PBE level of DFT.

Cell and atoms, written as POSCAR:
```
LaSmGePd
1.0
-3.267 -2.487 0.345
1.574 -1.550 3.736
-1.165 5.318 2.697
Ge Sm La Pd
1 1 1 1
direct
0.583 0.500 0.166
0.134 0.000 0.269
0.860 0.500 0.719
0.423 0.000 0.846
```

Summary:
crystal system: orthorhombic
relative energy among the computed polymorphs: 0.000 eV per atom
ΔH_f (0 K): -0.844 eV per atom

=====

These records have total energy values of -58.70; -87.42; -26.54; -52.11; -34.78; -22.83 eV/cell, in the order they appear.